# GGA-PBE ZrGeH2Rh, optimized geometry
data_ZrGeH2Rh
_chemical_formula_sum 'Zr1 Ge1 H2 Rh1'
_cell_length_a 3.688
_cell_length_b 3.688
_cell_length_c 4.854
_cell_angle_alpha 90.00
_cell_angle_beta 90.00
_cell_angle_gamma 90.00
_space_group_name_H-M_alt 'P 4/m m m'
_space_group_IT_number 123
_space_group_name_Hall '-P 4 2'
loop_
_atom_site_label
_atom_site_type_symbol
_atom_site_fract_x
_atom_site_fract_y
_atom_site_fract_z
Zr1 Zr 0.000 0.000 0.000
Ge1 Ge 0.500 0.500 0.000
H1 H 0.000 0.500 0.500
Rh1 Rh 0.500 0.500 0.500
# - crystal system = tetragonal
# - calculated total energy (eV per cell) = -27.8